# 1
## BaTb2S4 (meta-GGA SCAN)

Data for a crystal of BaTb2S4 relaxed with PBEsol. Values from VASP.

Magnetic moment: 0.00 μB per atom
Energy relative to the elements, uncorrected: -17.03 eV per formula unit

Structure (Quantum ESPRESSO input):
```
&SYSTEM
  ibrav = 0, nat = 28, ntyp = 3
/
ATOMIC_SPECIES
Ba 137.33 Ba.upf
Tb 158.93 Tb.upf
S 32.06 S.upf
CELL_PARAMETERS angstrom
12.100 0.000 0.000
0.000 4.023 0.000
0.000 0.000 14.426
ATOMIC_POSITIONS crystal
Ba 0.244 0.250 0.161
Ba 0.256 0.750 0.661
Ba 0.744 0.250 0.339
Ba 0.756 0.750 0.839
Tb 0.072 0.250 0.393
Tb 0.077 0.250 0.897
Tb 0.423 0.750 0.397
Tb 0.428 0.750 0.893
Tb 0.572 0.250 0.107
Tb 0.577 0.250 0.603
Tb 0.923 0.750 0.103
Tb 0.928 0.750 0.607
S 0.020 0.750 0.782
S 0.079 0.250 0.579
S 0.127 0.750 0.022
S 0.209 0.750 0.334
S 0.291 0.250 0.834
S 0.373 0.250 0.522
S 0.421 0.750 0.079
S 0.480 0.250 0.282
S 0.520 0.750 0.718
S 0.579 0.250 0.921
S 0.627 0.750 0.478
S 0.709 0.750 0.166
S 0.791 0.250 0.666
S 0.873 0.250 0.978
S 0.921 0.750 0.421
S 0.980 0.250 0.218
```



# 2
## TaFeAs2Se (meta-GGA SCAN)

Data for a crystal of TaFeAs2Se relaxed with PBEsol. Values from VASP.

Magnetic moment: 0.62 μB per atom
Energy relative to the elements, uncorrected: 4.28 eV per formula unit

Structure (Quantum ESPRESSO input):
```
&SYSTEM
  ibrav = 0, nat = 5, ntyp = 4
/
ATOMIC_SPECIES
Ta 180.95 Ta.upf
Fe 55.84 Fe.upf
As 74.92 As.upf
Se 78.96 Se.upf
CELL_PARAMETERS angstrom
4.349 0.000 0.000
0.000 4.349 0.000
0.000 0.000 4.833
ATOMIC_POSITIONS crystal
Ta 0.000 0.000 0.000
Fe 0.500 0.500 0.500
As 0.000 0.500 0.500
As 0.500 0.000 0.500
Se 0.500 0.500 0.000
```



# 3
## Tl3Cd (meta-GGA SCAN)

Data for a crystal of Tl3Cd relaxed with PBEsol. Values from VASP.

Magnetic moment: 0.00 μB per atom
E_form: 68 meV/atom

Structure (Quantum ESPRESSO input):
```
&SYSTEM
  ibrav = 0, nat = 4, ntyp = 2
/
ATOMIC_SPECIES
Tl 204.38 Tl.upf
Cd 112.41 Cd.upf
CELL_PARAMETERS angstrom
-2.325 2.325 4.884
2.325 -2.325 4.884
2.325 2.325 -4.884
ATOMIC_POSITIONS crystal
Tl 0.000 0.000 0.000
Tl 0.250 0.750 0.500
Tl 0.750 0.250 0.500
Cd 0.500 0.500 0.000
```



# 4
## CaYW (meta-GGA SCAN)

Data for a crystal of CaYW relaxed with PBEsol. Values from VASP.

Magnetic moment: 0.02 μB per atom
Energy above the lowest structure with this stoichiometry: 0.02 eV/f.u.
E_form: 771 meV/atom

Structure (Quantum ESPRESSO input):
```
&SYSTEM
  ibrav = 0, nat = 3, ntyp = 3
/
ATOMIC_SPECIES
Ca 40.08 Ca.upf
Y 88.91 Y.upf
W 183.84 W.upf
CELL_PARAMETERS angstrom
-1.519 1.519 7.848
1.519 -1.519 7.848
1.519 1.519 -7.848
ATOMIC_POSITIONS crystal
Ca 0.000 0.000 0.000
Y 0.289 0.289 0.000
W 0.650 0.650 0.000
```



# 5
## Zn2SiMo (meta-GGA SCAN)

Data for a crystal of Zn2SiMo relaxed with PBEsol. Values from VASP.

Magnetic moment: 0.00 μB per atom
Energy relative to the elements, uncorrected: 1.15 eV per formula unit

Structure (Quantum ESPRESSO input):
```
&SYSTEM
  ibrav = 0, nat = 4, ntyp = 3
/
ATOMIC_SPECIES
Zn 65.41 Zn.upf
Si 28.09 Si.upf
Mo 95.94 Mo.upf
CELL_PARAMETERS angstrom
1.830 -1.913 0.000
1.830 1.913 0.000
0.000 0.000 8.303
ATOMIC_POSITIONS crystal
Zn 0.000 0.000 0.246
Zn 0.000 0.000 0.754
Si 0.500 0.500 0.500
Mo 0.500 0.500 0.000
```



# 6
## Mg2CoH5 (meta-GGA SCAN)

Data for a crystal of Mg2CoH5 relaxed with PBEsol. Values from VASP.

Magnetic moment: 0.00 μB per atom
E_tot: -94.21 eV/cell

Structure (Quantum ESPRESSO input):
```
&SYSTEM
  ibrav = 0, nat = 16, ntyp = 3
/
ATOMIC_SPECIES
Mg 24.30 Mg.upf
Co 58.93 Co.upf
H 1.01 H.upf
CELL_PARAMETERS angstrom
4.401 0.000 0.000
0.000 4.401 0.000
0.000 0.000 6.516
ATOMIC_POSITIONS crystal
Mg 0.250 0.750 0.000
Mg 0.250 0.750 0.500
Mg 0.750 0.250 0.000
Mg 0.750 0.250 0.500
Co 0.250 0.250 0.242
Co 0.750 0.750 0.758
H 0.007 0.007 0.269
H 0.007 0.493 0.269
H 0.250 0.250 0.004
H 0.493 0.007 0.269
H 0.493 0.493 0.269
H 0.507 0.507 0.731
H 0.507 0.993 0.731
H 0.750 0.750 0.996
H 0.993 0.507 0.731
H 0.993 0.993 0.731
```



# 7
## KAu (meta-GGA SCAN)

Data for a crystal of KAu relaxed with PBEsol. Values from VASP.

Magnetic moment: 0.00 μB per atom
E_form: -378 meV/atom

Structure (Quantum ESPRESSO input):
```
&SYSTEM
  ibrav = 0, nat = 6, ntyp = 2
/
ATOMIC_SPECIES
K 39.10 K.upf
Au 196.97 Au.upf
CELL_PARAMETERS angstrom
5.707 -2.459 0.000
5.707 2.459 0.000
-5.695 0.000 6.101
ATOMIC_POSITIONS crystal
K 0.000 0.000 0.000
K 0.557 0.557 0.698
K 0.860 0.860 0.304
Au 0.231 0.231 0.602
Au 0.312 0.312 0.000
Au 0.628 0.628 0.397
```



# 8
## AlCrIr2 (meta-GGA SCAN)

Data for a crystal of AlCrIr2 relaxed with PBEsol. Values from VASP.

Magnetic moment: 0.29 μB per atom
E_form: -193 meV/atom

Structure (Quantum ESPRESSO input):
```
&SYSTEM
  ibrav = 0, nat = 4, ntyp = 3
/
ATOMIC_SPECIES
Al 26.98 Al.upf
Cr 52.00 Cr.upf
Ir 192.22 Ir.upf
CELL_PARAMETERS angstrom
0.000 3.001 3.001
3.001 0.000 3.001
3.001 3.001 0.000
ATOMIC_POSITIONS crystal
Al 0.000 0.000 0.000
Cr 0.250 0.250 0.250
Ir 0.500 0.500 0.500
Ir 0.750 0.750 0.750
```